First-principles (PBE) data for a relaxed Li2ScTc crystal, as listed in Alexandria via LeMat-Bulk.

Calculated values
The value obtained for the relative energy among the computed polymorphs is 0 meV per atom.

Cell: 5.791 5.791 5.791 Å, 149.98 135.22 54.85°
Fractional coordinates of all 4 atoms:
Li: 0.017 0.017 0.000
Li: 0.483 0.483 0.000
Sc: 0.750 0.250 0.500
Tc: 0.250 0.750 0.500

***

First-principles (PBE) data for a relaxed Li2ScTc crystal, as listed in Alexandria via LeMat-Bulk.

Calculated values
The value obtained for the relative energy among the computed polymorphs is 64 meV per atom.

Cell: 3.325 3.325 6.340 Å, 90.00 90.00 90.00°
Site moments in Bohr magnetons follow the coordinates.
Fractional coordinates of all 4 atoms:
Li: 0.000 0.000 0.981  0.00
Li: 0.500 0.500 0.217  0.00
Sc: 0.000 0.000 0.549  0.00
Tc: 0.500 0.500 0.753  0.13

***

First-principles (PBE) data for a relaxed LiScTc3 crystal, as listed in Alexandria via LeMat-Bulk.

Calculated values
The value obtained for the relative energy among the computed polymorphs is 884 meV per atom.

Cell: 4.642 4.642 4.642 Å, 90.00 90.00 90.00°
Site moments in Bohr magnetons follow the coordinates.
Fractional coordinates of all 5 atoms:
Sc: 0.000 0.000 0.000  -0.06
Tc: 0.000 0.500 0.000  0.61
Tc: 0.000 0.000 0.500  0.62
Tc: 0.500 0.000 0.000  0.70
Li: 0.500 0.500 0.500  -0.01

***

First-principles (PBE) data for a relaxed LiScTc4 crystal, as listed in Alexandria via LeMat-Bulk.

Calculated values
The value obtained for the energy is -8.197 eV per atom.

Cell: 5.195 5.195 5.195 Å, 60.00 60.00 60.00°
Fractional coordinates of all 6 atoms:
Li: 0.750 0.750 0.750
Sc: 0.000 0.000 0.000
Tc: 0.874 0.375 0.375
Tc: 0.375 0.375 0.874
Tc: 0.375 0.874 0.375
Tc: 0.375 0.375 0.375

***

First-principles (PBE) data for a relaxed LiSc2Tc crystal, as listed in Alexandria via LeMat-Bulk.

Calculated values
The value obtained for the relative energy among the computed polymorphs is 184 meV per atom.

Cell: 5.145 5.145 4.707 Å, 74.43 74.43 37.78°
Fractional coordinates of all 4 atoms:
Li: 0.229 0.229 0.239
Sc: 0.989 0.989 0.040
Sc: 0.774 0.774 0.683
Tc: 0.509 0.509 0.539

***

First-principles (PBE) data for a relaxed Li2ScTc crystal, as listed in Alexandria via LeMat-Bulk.

Calculated values
The value obtained for the relative energy among the computed polymorphs is 234 meV per atom.

Cell: 2.633 2.633 9.693 Å, 90.00 90.00 90.00°
Fractional coordinates of all 4 atoms:
Li: 0.000 0.000 0.973
Li: 0.000 0.000 0.527
Sc: 0.500 0.500 0.250
Tc: 0.500 0.500 0.750

***

First-principles (PBE) data for a relaxed LiSc2Tc crystal, as listed in Alexandria via LeMat-Bulk.

Calculated values
The value obtained for the relative energy among the computed polymorphs is 19 meV per atom.

Cell: 4.652 4.652 4.652 Å, 60.00 60.00 60.00°
Fractional coordinates of all 4 atoms:
Sc: 0.250 0.250 0.250
Sc: 0.750 0.750 0.750
Tc: 0.500 0.500 0.500
Li: 0.000 0.000 0.000

***

First-principles (PBE) data for a relaxed LiSc3Tc crystal, as listed in Alexandria via LeMat-Bulk.

Calculated values
The value obtained for the relative energy among the computed polymorphs is 755 meV per atom.

Cell: 4.654 4.654 4.654 Å, 90.00 90.00 90.00°
Fractional coordinates of all 5 atoms:
Sc: 0.000 0.500 0.000
Sc: 0.000 0.000 0.500
Sc: 0.500 0.000 0.000
Tc: 0.500 0.500 0.500
Li: 0.000 0.000 0.000

***

First-principles (PBE) data for a relaxed Li2ScTc crystal, as listed in Alexandria via LeMat-Bulk.

Calculated values
The value obtained for the relative energy among the computed polymorphs is 117 meV per atom.

Cell: 3.775 3.775 4.694 Å, 90.00 90.00 90.00°
Fractional coordinates of all 4 atoms:
Li: 0.000 0.000 0.000
Li: 0.500 0.500 0.000
Sc: 0.500 0.000 0.500
Tc: 0.000 0.500 0.500

***

First-principles (PBE) data for a relaxed Li2ScTc crystal, as listed in Alexandria via LeMat-Bulk.

Calculated values
The value obtained for the relative energy among the computed polymorphs is 239 meV per atom.

Cell: 2.674 2.674 9.849 Å, 90.00 90.00 106.22°
Fractional coordinates of all 4 atoms:
Li: 0.000 0.000 0.975
Li: 0.000 0.000 0.525
Sc: 0.500 0.500 0.250
Tc: 0.500 0.500 0.750

***

First-principles (PBE) data for a relaxed Li2ScTc crystal, as listed in Alexandria via LeMat-Bulk.

Calculated values
The value obtained for the relative energy among the computed polymorphs is 228 meV per atom.

Cell: 4.436 4.436 4.436 Å, 60.00 60.00 60.00°
Site moments in Bohr magnetons follow the coordinates.
Fractional coordinates of all 4 atoms:
Sc: 0.000 0.000 0.000  -0.19
Tc: 0.500 0.500 0.500  1.02
Li: 0.250 0.250 0.250  -0.03
Li: 0.750 0.750 0.750  -0.03

***

First-principles (PBE) data for a relaxed Li2ScTc crystal, as listed in Alexandria via LeMat-Bulk.

Calculated values
The value obtained for the relative energy among the computed polymorphs is 64 meV per atom.

Cell: 4.252 2.716 6.119 Å, 74.83 90.00 90.00°
Fractional coordinates of all 4 atoms:
Li: 0.000 0.038 0.998
Li: 0.500 0.204 0.222
Sc: 0.000 0.452 0.535
Tc: 0.500 0.807 0.746

***

| no. | ρ (g/cm³) |
| --- | --- |
| 1 | 3.83 |
| 2 | 3.72 |
| 3 | 5.74 |
| 4 | 7.44 |
| 5 | 4.42 |
| 6 | 3.88 |
| 7 | 4.55 |
| 8 | 3.95 |
| 9 | 3.89 |
| 10 | 3.85 |
| 11 | 4.22 |
| 12 | 3.82 |